Record 1
A relaxed structure of CaNd3Pd. Source: the Alexandria database, functional GGA-PBE.

```
CaNd3Pd
1.0
7.9406 0.0000 0.0000
-3.9703 6.8768 0.0000
0.0000 0.0000 6.2651
Ca Nd Pd
2 6 2
direct
0.3333 0.6667 0.2500 Ca
0.6667 0.3333 0.7500 Ca
0.1785 0.3571 0.7500 Nd
0.1785 0.8215 0.7500 Nd
0.3571 0.1785 0.2500 Nd
0.6429 0.8215 0.7500 Nd
0.8215 0.1785 0.2500 Nd
0.8215 0.6429 0.2500 Nd
0.0000 0.0000 0.0000 Pd
0.0000 0.0000 0.5000 Pd
```

Summary:
Polymorph energy (0 for the lowest one) ... 0.000 eV/atom
D(E_F) ... 12.47 states/eV/cell
Magnetization ... 0.146 μB per atom
Calculated formation energy ... -0.176 eV/atom
Uncorrected energy ... -4.48 eV per atom
SG ... P6_3/mmc


Record 2
A relaxed structure of KGaBr2. Source: the Alexandria database, functional GGA-PBE.

```
KGaBr2
1.0
4.6229 0.0000 0.0000
-2.3115 4.0036 0.0000
0.0000 0.0000 22.4809
K Ga Br
3 3 6
direct
0.0000 0.3341 0.3333 K
0.3341 0.0000 0.6667 K
0.6659 0.6659 0.0000 K
0.0000 0.3336 0.8333 Ga
0.3336 0.0000 0.1667 Ga
0.6664 0.6664 0.5000 Ga
0.0015 0.3346 0.5789 Br
0.3331 0.9985 0.9123 Br
0.3346 0.0015 0.4211 Br
0.6654 0.6669 0.2456 Br
0.6669 0.6654 0.7544 Br
0.9985 0.3331 0.0877 Br
```

Summary:
Polymorph energy (0 for the lowest one) ... 0.010 eV/atom
D(E_F) ... 0.00 states/eV/cell
Magnetization ... 0.000 μB per atom
ΔE_f (raw) ... -1.128 eV/atom
Uncorrected energy ... -3.00 eV per atom
SG ... P3_221


Record 3
A relaxed structure of MnCoBi. Source: the Alexandria database, functional GGA-PBE.

```
MnCoBi
1.0
6.4576 0.0000 0.0000
0.0000 3.8611 0.0000
-1.5991 0.0000 9.0594
Mn Co Bi
4 4 4
direct
0.2296 0.0000 0.0852 Mn
0.2704 0.5000 0.9148 Mn
0.7296 0.5000 0.0852 Mn
0.7704 0.0000 0.9148 Mn
0.0799 0.0000 0.8445 Co
0.4201 0.5000 0.1555 Co
0.5799 0.5000 0.8445 Co
0.9201 0.0000 0.1555 Co
0.1209 0.5000 0.3235 Bi
0.3791 0.0000 0.6765 Bi
0.6209 0.0000 0.3235 Bi
0.8791 0.5000 0.6765 Bi
```

Summary:
D(E_F) ... 15.44 states/eV/cell
Magnetization ... 0.000 μB per atom
Calculated formation energy ... 0.375 eV/atom
Uncorrected energy ... -6.34 eV per atom
SG ... C2/m


Record 4
A relaxed structure of KNa2GaPd. Source: the Alexandria database, functional GGA-PBE.

```
KNa2GaPd
1.0
5.6022 0.0000 0.0000
0.0000 5.6022 0.0000
0.0000 0.0000 4.8853
K Na Ga Pd
1 2 1 1
direct
0.0000 0.0000 0.0000 K
0.0000 0.5000 0.5000 Na
0.5000 0.0000 0.5000 Na
0.5000 0.5000 0.0000 Ga
0.5000 0.5000 0.5000 Pd
```

Summary:
D(E_F) ... 1.80 states/eV/cell
Magnetization ... 0.000 μB per atom
Calculated formation energy ... -0.143 eV/atom
Uncorrected energy ... -2.53 eV per atom
SG ... P4/mmm


Record 5
A relaxed structure of CaZn2H10O8. Source: the Alexandria database, functional GGA-PBE.

```
CaZn2H10O8
1.0
6.3976 0.0000 0.0000
0.0000 11.0013 0.0000
-1.4449 0.0000 5.7340
Ca Zn H O
2 4 20 16
direct
0.0000 0.0000 0.0000 Ca
0.0000 0.5000 0.5000 Ca
0.4588 0.1692 0.8377 Zn
0.4588 0.3308 0.3377 Zn
0.5412 0.6692 0.6623 Zn
0.5412 0.8308 0.1623 Zn
0.0330 0.2346 0.2773 H
0.0330 0.2654 0.7773 H
0.0888 0.1259 0.5966 H
0.0888 0.3741 0.0966 H
0.1951 0.6648 0.2412 H
0.1951 0.8352 0.7412 H
0.3438 0.5503 0.8994 H
0.3438 0.9497 0.3994 H
0.4692 0.1035 0.2292 H
0.4692 0.3965 0.7292 H
0.5308 0.6035 0.2708 H
0.5308 0.8965 0.7708 H
0.6562 0.0503 0.6006 H
0.6562 0.4497 0.1006 H
0.8049 0.1648 0.2588 H
0.8049 0.3352 0.7588 H
0.9112 0.6259 0.9034 H
0.9112 0.8741 0.4034 H
0.9670 0.7346 0.2227 H
0.9670 0.7654 0.7227 H
0.0353 0.6508 0.2190 O
0.0353 0.8492 0.7190 O
0.1470 0.1354 0.7668 O
0.1470 0.3646 0.2668 O
0.3554 0.5378 0.7398 O
0.3554 0.9622 0.2398 O
0.4620 0.6803 0.3101 O
0.4620 0.8197 0.8101 O
0.5380 0.1803 0.1899 O
0.5380 0.3197 0.6899 O
0.6446 0.0378 0.7602 O
0.6446 0.4622 0.2602 O
0.8530 0.6354 0.7332 O
0.8530 0.8646 0.2332 O
0.9647 0.1508 0.2810 O
0.9647 0.3492 0.7810 O
```

Summary:
Polymorph energy (0 for the lowest one) ... 0.000 eV/atom
D(E_F) ... 0.00 states/eV/cell
Magnetization ... 0.000 μB per atom
Uncorrected energy ... -5.04 eV per atom
SG ... P2_1/c


Record 6
A relaxed structure of SrZnCdRh. Source: the Alexandria database, functional GGA-PBE.

```
SrZnCdRh
1.0
4.4669 0.0000 0.0000
-2.2334 3.8684 0.0000
0.0000 0.0000 16.8232
Sr Zn Cd Rh
3 3 3 3
direct
0.0000 0.0000 0.0000 Sr
0.3333 0.6667 0.6667 Sr
0.6667 0.3333 0.3333 Sr
0.0000 0.0000 0.4618 Zn
0.3333 0.6667 0.1285 Zn
0.6667 0.3333 0.7951 Zn
0.0000 0.0000 0.1984 Cd
0.3333 0.6667 0.8651 Cd
0.6667 0.3333 0.5318 Cd
0.0000 0.0000 0.7987 Rh
0.3333 0.6667 0.4654 Rh
0.6667 0.3333 0.1321 Rh
```

Summary:
D(E_F) ... 4.50 states/eV/cell
Magnetization ... 0.000 μB per atom
Calculated formation energy ... -0.311 eV/atom
Uncorrected energy ... -3.12 eV per atom
SG ... R3m


Record 7
A relaxed structure of NaTiSeO5. Source: the Alexandria database, functional GGA-PBE.

```
NaTiSeO5
1.0
3.5382 -4.3995 0.0000
3.5382 4.3995 0.0000
-3.3775 0.0000 6.6858
Na Ti Se O
2 2 2 10
direct
0.1820 0.8180 0.7500 Na
0.8180 0.1820 0.2500 Na
0.5000 0.5000 0.0000 Ti
0.5000 0.5000 0.5000 Ti
0.1941 0.8059 0.2500 Se
0.8059 0.1941 0.7500 Se
0.1239 0.2539 0.9000 O
0.1869 0.6192 0.4205 O
0.2539 0.1239 0.4000 O
0.3808 0.8131 0.0795 O
0.4631 0.5369 0.7500 O
0.5369 0.4631 0.2500 O
0.6192 0.1869 0.9205 O
0.7461 0.8761 0.6000 O
0.8131 0.3808 0.5795 O
0.8761 0.7461 0.1000 O
```

Summary:
D(E_F) ... 3.87 states/eV/cell
Magnetization ... 0.101 μB per atom
ΔE_f (raw) ... -1.667 eV/atom
Uncorrected energy ... -6.35 eV per atom
SG ... C2/c


Record 8
A relaxed structure of TlHgS5. Source: the Alexandria database, functional GGA-PBE.

```
TlHgS5
1.0
8.9690 -2.9454 0.0000
8.9690 2.9454 0.0000
-5.8692 0.0000 8.6264
Tl Hg S
2 2 10
direct
0.0002 0.9998 0.2500 Tl
0.9998 0.0002 0.7500 Tl
0.5000 0.5000 0.0000 Hg
0.5000 0.5000 0.5000 Hg
0.0746 0.2879 0.7049 S
0.0987 0.3728 0.1385 S
0.2879 0.0746 0.2049 S
0.3728 0.0987 0.6385 S
0.4975 0.5025 0.7500 S
0.5025 0.4975 0.2500 S
0.6272 0.9013 0.3615 S
0.7121 0.9254 0.7951 S
0.9013 0.6272 0.8615 S
0.9254 0.7121 0.2951 S
```

Summary:
D(E_F) ... 5.57 states/eV/cell
Magnetization ... 0.000 μB per atom
ΔE_f (raw) ... 0.088 eV/atom
Uncorrected energy ... -3.24 eV per atom
SG ... C2/c


Record 9
A relaxed structure of PrDy2SnC. Source: the Alexandria database, functional GGA-PBE.

```
PrDy2SnC
1.0
4.9126 0.0000 0.0000
0.0000 4.9126 0.0000
0.0000 0.0000 5.1403
Pr Dy Sn C
1 2 1 1
direct
0.0000 0.0000 0.0000 Pr
0.0000 0.5000 0.5000 Dy
0.5000 0.0000 0.5000 Dy
0.5000 0.5000 0.0000 Sn
0.0000 0.0000 0.5000 C
```

Summary:
D(E_F) ... 2.24 states/eV/cell
Magnetization ... 0.000 μB per atom
Calculated formation energy ... -0.548 eV/atom
Uncorrected energy ... -5.99 eV per atom
SG ... P4/mmm


Record 10
A relaxed structure of KTaCl2. Source: the Alexandria database, functional GGA-PBE.

```
KTaCl2
1.0
6.8367 0.0000 0.0000
0.0000 6.8367 0.0000
0.0000 0.0000 6.8367
K Ta Cl
4 4 8
direct
0.0000 0.0000 0.0000 K
0.0000 0.5000 0.5000 K
0.5000 0.0000 0.5000 K
0.5000 0.5000 0.0000 K
0.0000 0.0000 0.5000 Ta
0.0000 0.5000 0.0000 Ta
0.5000 0.0000 0.0000 Ta
0.5000 0.5000 0.5000 Ta
0.2500 0.2500 0.2500 Cl
0.2500 0.2500 0.7500 Cl
0.2500 0.7500 0.2500 Cl
0.2500 0.7500 0.7500 Cl
0.7500 0.2500 0.2500 Cl
0.7500 0.2500 0.7500 Cl
0.7500 0.7500 0.2500 Cl
0.7500 0.7500 0.7500 Cl
```

Summary:
Polymorph energy (0 for the lowest one) ... 0.737 eV/atom
D(E_F) ... 8.70 states/eV/cell
Magnetization ... 0.000 μB per atom
ΔE_f (raw) ... 0.307 eV/atom
Uncorrected energy ... -3.85 eV per atom
SG ... Fm-3m


Record 11
A relaxed structure of MnCuTe2. Source: the Alexandria database, functional GGA-PBE.

```
MnCuTe2
1.0
3.1690 0.0000 0.0000
0.0000 3.8656 0.0000
-0.6649 0.0000 7.4224
Mn Cu Te
1 1 2
direct
0.0000 0.0000 0.0000 Mn
0.0000 0.0000 0.5000 Cu
0.2239 0.5000 0.7490 Te
0.7761 0.5000 0.2510 Te
```

Summary:
D(E_F) ... 1.63 states/eV/cell
Magnetization ... 1.080 μB per atom
ΔE_f (raw) ... 0.195 eV/atom
Uncorrected energy ... -4.69 eV per atom
SG ... P2/m


Record 12
A relaxed structure of Na5EuTaAs4. Source: the Alexandria database, functional GGA-PBE.

```
Na5EuTaAs4
1.0
4.7641 -8.2876 0.0000
4.7641 8.2876 0.0000
-0.1638 0.0000 7.4988
Na Eu Ta As
10 2 2 8
direct
0.0333 0.9667 0.5000 Na
0.0350 0.5675 0.4992 Na
0.2139 0.3569 0.3493 Na
0.3569 0.2139 0.8493 Na
0.3705 0.6512 0.8357 Na
0.5675 0.0350 0.9992 Na
0.6512 0.3705 0.3357 Na
0.6585 0.7986 0.3079 Na
0.7986 0.6585 0.8079 Na
0.9667 0.0333 0.0000 Na
0.4464 0.9736 0.5066 Eu
0.9736 0.4464 0.0066 Eu
0.1723 0.8418 0.1131 Ta
0.8418 0.1723 0.6131 Ta
0.1232 0.3158 0.7345 As
0.1795 0.8372 0.7805 As
0.3101 0.6927 0.2233 As
0.3158 0.1232 0.2345 As
0.6902 0.8833 0.7025 As
0.6927 0.3101 0.7233 As
0.8372 0.1795 0.2805 As
0.8833 0.6902 0.2025 As
```

Summary:
D(E_F) ... 21.22 states/eV/cell
Magnetization ... 0.636 μB per atom
Calculated formation energy ... -0.616 eV/atom
Uncorrected energy ... -4.92 eV per atom
SG ... Cc


What V values result from the calculations? In sequence: 342.1; 416.1; 225.9; 153.3; 403.6; 290.7; 208.1; 455.8; 124.1; 319.5; 90.9; 592.1 Å³ per cell.